1.
Below is crystalline Dy3HoZn2 at its relaxed geometry, with properties calculated at the PBE-GGA level. Values from VASP.

Summary:
formation energy = -222 meV/atom
space group = No. 123
E = -22.27 eV per formula unit
polymorph energy (0 for the lowest one) = 8 meV/atom
total magnetization = 0.0 μB per cell

```
&SYSTEM
  ibrav = 0, nat = 6, ntyp = 3
/
ATOMIC_SPECIES
Dy 162.50 Dy.upf
Ho 164.93 Ho.upf
Zn 65.41 Zn.upf
ATOMIC_POSITIONS angstrom
Dy 0.0000 0.0000 0.0000
Dy 0.0000 0.0000 3.5340
Dy 0.0000 0.0000 8.5774
Ho 1.7818 1.7818 6.0557
Zn 1.7818 1.7818 1.7614
Zn 1.7818 1.7818 10.3501
CELL_PARAMETERS angstrom
3.5635 0.0000 0.0000
0.0000 3.5635 0.0000
0.0000 0.0000 12.1114
```

---

2.
Below is crystalline Dy2Ho2Zn at its relaxed geometry, with properties calculated at the PBE-GGA level. Values from VASP.

Summary:
formation energy = -125 meV/atom
space group = No. 139
E = -20.26 eV per formula unit
polymorph energy (0 for the lowest one) = 0 meV/atom
total magnetization = 0.0 μB per cell

```
&SYSTEM
  ibrav = 0, nat = 5, ntyp = 3
/
ATOMIC_SPECIES
Dy 162.50 Dy.upf
Ho 164.93 Ho.upf
Zn 65.41 Zn.upf
ATOMIC_POSITIONS angstrom
Dy 0.0000 0.0000 4.3193
Dy 0.0000 0.0000 17.9031
Ho 0.0000 0.0000 9.3424
Ho 0.0000 0.0000 12.8799
Zn 0.0000 0.0000 0.0000
CELL_PARAMETERS angstrom
-1.7684 1.7684 11.1112
1.7684 -1.7684 11.1112
1.7684 1.7684 -11.1112
```

---

3.
Below is crystalline Dy2HoZn at its relaxed geometry, with properties calculated at the PBE-GGA level. Values from VASP.

Summary:
formation energy = 4 meV/atom
space group = No. 123
E = -15.04 eV per formula unit
polymorph energy (0 for the lowest one) = 164 meV/atom
total magnetization = 0.0 μB per cell

```
&SYSTEM
  ibrav = 0, nat = 4, ntyp = 3
/
ATOMIC_SPECIES
Dy 162.50 Dy.upf
Ho 164.93 Ho.upf
Zn 65.41 Zn.upf
ATOMIC_POSITIONS angstrom
Dy 0.0000 2.6535 0.0000
Dy 2.6535 0.0000 0.0000
Ho 0.0000 0.0000 1.9005
Zn 2.6535 2.6535 1.9005
CELL_PARAMETERS angstrom
5.3069 0.0000 0.0000
0.0000 5.3069 0.0000
0.0000 0.0000 3.8011
```

---

4.
Below is crystalline Dy2Ho3Zn2 at its relaxed geometry, with properties calculated at the PBE-GGA level. Values from VASP.

Summary:
formation energy = -123 meV/atom
space group = No. 65
E = -26.35 eV per formula unit
polymorph energy (0 for the lowest one) = 10 meV/atom
total magnetization = 0.0 μB per cell

```
&SYSTEM
  ibrav = 0, nat = 7, ntyp = 3
/
ATOMIC_SPECIES
Dy 162.50 Dy.upf
Ho 164.93 Ho.upf
Zn 65.41 Zn.upf
ATOMIC_POSITIONS angstrom
Dy 1.7569 9.1066 0.0000
Dy 1.7569 -9.1066 0.0000
Ho 1.7569 3.5863 1.7509
Ho 1.7569 0.0000 1.7509
Ho 1.7569 -3.5863 1.7509
Zn 1.7569 13.4539 0.0000
Zn 1.7569 -13.4539 0.0000
CELL_PARAMETERS angstrom
1.7569 -15.2172 0.0000
1.7569 15.2172 0.0000
0.0000 0.0000 3.5017
```